# 1
Density functional theory data (PBE) for BaGaP2W after structural relaxation. Values from VASP.

DFT formation energy: -0.29 eV/atom
SG: No. 123
VASP energy: -6.0384 eV per atom
calculated density: 6.5 g cm⁻³

Cell and atoms, written as Quantum ESPRESSO input:
```
&SYSTEM
  ibrav = 0, nat = 5, ntyp = 4
/
ATOMIC_SPECIES
P 30.97 P.upf
Ga 69.72 Ga.upf
Ba 137.33 Ba.upf
W 183.84 W.upf
ATOMIC_POSITIONS crystal
P 0.000 0.000 0.500
P 0.500 0.000 0.000
Ga 0.000 0.500 0.000
Ba 0.500 0.500 0.500
W 0.000 0.000 0.000
CELL_PARAMETERS angstrom
4.815 0.000 0.000
0.000 4.996 0.000
0.000 0.000 4.815
```

---

# 2
Density functional theory data (PBE) for La5PmSm4 after structural relaxation. Values from VASP.

DFT formation energy: 0.32 eV/atom
SG: No. 59
VASP energy: -4.5106 eV per atom
calculated density: 6.4 g cm⁻³

Cell and atoms, written as Quantum ESPRESSO input:
```
&SYSTEM
  ibrav = 0, nat = 20, ntyp = 3
/
ATOMIC_SPECIES
La 138.91 La.upf
Pm 145.00 Pm.upf
Sm 150.36 Sm.upf
ATOMIC_POSITIONS crystal
La 0.281 0.746 0.818
La 0.281 0.254 0.818
La 0.788 0.500 0.000
La 0.281 0.746 0.182
La 0.281 0.254 0.182
La 0.719 0.754 0.318
La 0.719 0.246 0.318
La 0.212 0.000 0.500
La 0.719 0.246 0.682
La 0.719 0.754 0.682
Pm 0.820 0.000 0.000
Pm 0.180 0.500 0.500
Sm 0.994 0.000 0.701
Sm 0.542 0.754 0.000
Sm 0.542 0.246 0.000
Sm 0.994 0.000 0.299
Sm 0.006 0.500 0.201
Sm 0.458 0.746 0.500
Sm 0.458 0.254 0.500
Sm 0.006 0.500 0.799
CELL_PARAMETERS angstrom
11.655 0.000 0.000
0.000 6.922 0.000
0.000 0.000 9.256
```

---

# 3
Density functional theory data (PBE) for KInCo4 after structural relaxation. Values from VASP.

DFT formation energy: 0.55 eV/atom
SG: No. 216
VASP energy: -4.8274 eV per atom
calculated density: 6.9 g cm⁻³

Cell and atoms, written as Quantum ESPRESSO input:
```
&SYSTEM
  ibrav = 0, nat = 6, ntyp = 3
/
ATOMIC_SPECIES
K 39.10 K.upf
In 114.82 In.upf
Co 58.93 Co.upf
ATOMIC_POSITIONS crystal
K 0.000 0.000 0.000
In 0.750 0.750 0.750
Co 0.871 0.376 0.376
Co 0.376 0.376 0.871
Co 0.376 0.871 0.376
Co 0.376 0.376 0.376
CELL_PARAMETERS angstrom
0.000 3.600 3.600
3.600 0.000 3.600
3.600 3.600 0.000
```

---

# 4
Density functional theory data (PBE) for BeZnIn after structural relaxation. Values from VASP.

DFT formation energy: 0.22 eV/atom
offset from the most stable computed form: 22 meV per atom
SG: No. 8
VASP energy: -2.3552 eV per atom
calculated density: 6.1 g cm⁻³

Cell and atoms, written as Quantum ESPRESSO input:
```
&SYSTEM
  ibrav = 0, nat = 12, ntyp = 3
/
ATOMIC_SPECIES
Be 9.01 Be.upf
Zn 65.41 Zn.upf
In 114.82 In.upf
ATOMIC_POSITIONS crystal
Be 0.566 0.000 0.873
Be 0.566 0.500 0.373
Be 0.351 0.000 0.655
Be 0.351 0.500 0.155
Zn 0.954 0.000 0.759
Zn 0.954 0.500 0.259
Zn 0.723 0.000 0.528
Zn 0.723 0.500 0.028
In 0.472 0.000 0.277
In 0.472 0.500 0.777
In 0.204 0.000 0.012
In 0.204 0.500 0.512
CELL_PARAMETERS angstrom
-1.797 -3.308 -1.720
4.030 -1.506 -1.316
2.838 -2.278 11.301
```

---

# 5
Density functional theory data (PBE) for LaCuB2 after structural relaxation. Values from VASP.

DFT formation energy: 0.70 eV/atom
offset from the most stable computed form: 573 meV per atom
SG: No. 225
VASP energy: -4.8916 eV per atom
calculated density: 6.3 g cm⁻³

Cell and atoms, written as Quantum ESPRESSO input:
```
&SYSTEM
  ibrav = 0, nat = 4, ntyp = 3
/
ATOMIC_SPECIES
B 10.81 B.upf
Cu 63.55 Cu.upf
La 138.91 La.upf
ATOMIC_POSITIONS crystal
B 0.250 0.250 0.250
B 0.750 0.750 0.750
Cu 0.000 0.000 0.000
La 0.500 0.500 0.500
CELL_PARAMETERS angstrom
0.000 3.091 3.091
3.091 0.000 3.091
3.091 3.091 0.000
```

---

# 6
Density functional theory data (PBE) for Y2Hg2Pb after structural relaxation. Values from VASP.

DFT formation energy: -0.19 eV/atom
offset from the most stable computed form: 232 meV per atom
SG: No. 139
VASP energy: -3.6402 eV per atom
calculated density: 9.0 g cm⁻³

Cell and atoms, written as Quantum ESPRESSO input:
```
&SYSTEM
  ibrav = 0, nat = 5, ntyp = 3
/
ATOMIC_SPECIES
Pb 207.20 Pb.upf
Y 88.91 Y.upf
Hg 200.59 Hg.upf
ATOMIC_POSITIONS crystal
Pb 0.000 0.000 0.000
Y 0.397 0.397 0.207
Y 0.603 0.603 0.793
Hg 0.750 0.250 0.500
Hg 0.250 0.750 0.500
CELL_PARAMETERS angstrom
4.110 0.000 0.000
0.000 4.110 0.000
2.055 2.055 8.558
```